Record 1
Computed, not measured: a relaxed structure of K3PuF6 at the PBE level of DFT.

```
K3PuF6
1.0
6.599 0.000 0.000
3.224 5.776 0.000
3.226 1.933 5.452
K Pu F
3 1 6
Direct
0.000 0.000 0.000 K
0.213 0.251 0.252 K
0.787 0.749 0.748 K
0.500 0.500 0.500 Pu
0.192 0.810 0.344 F
0.193 0.344 0.812 F
0.412 0.726 0.723 F
0.588 0.274 0.277 F
0.807 0.656 0.188 F
0.808 0.190 0.656 F
```

Summary:
Formation energy without anion corrections = -3.11 eV per atom

***

Record 2
Computed, not measured: a relaxed structure of K6PuF12 at the PBE level of DFT.

```
K6PuF12
1.0
5.804 3.351 3.650
-5.804 3.351 3.650
0.000 -6.701 3.650
K Pu F
6 1 12
Direct
0.100 0.840 0.653 K
0.160 0.347 0.900 K
0.347 0.900 0.160 K
0.653 0.100 0.840 K
0.840 0.653 0.100 K
0.900 0.160 0.347 K
0.500 0.500 0.500 Pu
0.083 0.898 0.330 F
0.102 0.670 0.917 F
0.234 0.421 0.523 F
0.330 0.083 0.898 F
0.421 0.523 0.234 F
0.477 0.766 0.579 F
0.523 0.234 0.421 F
0.579 0.477 0.766 F
0.670 0.917 0.102 F
0.766 0.579 0.477 F
0.898 0.330 0.083 F
0.917 0.102 0.670 F
```

Summary:
Formation energy without anion corrections = -2.76 eV per atom
Offset from the most stable computed form = 0 meV/atom

***

Record 3
Computed, not measured: a relaxed structure of KPuF3 at the PBE level of DFT.

```
KPuF3
1.0
4.797 0.000 0.000
0.000 4.797 0.000
0.000 0.000 4.797
K Pu F
1 1 3
Direct
0.000 0.000 0.000 K
0.500 0.500 0.500 Pu
0.000 0.500 0.500 F
0.500 0.000 0.500 F
0.500 0.500 0.000 F
```

Summary:
Formation energy without anion corrections = -2.87 eV per atom
Offset from the most stable computed form = 0 meV/atom

***

Record 4
Computed, not measured: a relaxed structure of K5Pu2F12 at the PBE level of DFT.

```
K5Pu2F12
1.0
6.541 -4.476 0.000
6.541 4.476 0.000
-6.088 0.000 6.537
K Pu F
5 2 12
Direct
0.000 0.000 0.000 K
0.298 0.298 0.537 K
0.302 0.302 0.058 K
0.698 0.698 0.942 K
0.702 0.702 0.463 K
0.189 0.811 0.500 Pu
0.811 0.189 0.500 Pu
0.001 0.001 0.708 F
0.116 0.477 0.294 F
0.179 0.179 0.678 F
0.306 0.690 0.719 F
0.310 0.694 0.281 F
0.477 0.116 0.294 F
0.523 0.884 0.706 F
0.690 0.306 0.719 F
0.694 0.310 0.281 F
0.821 0.821 0.322 F
0.884 0.523 0.706 F
0.999 0.999 0.292 F
```

Summary:
Formation energy without anion corrections = -3.13 eV per atom
Offset from the most stable computed form = 37 meV/atom